*one*
## Ba2CaZnPt (PBE-GGA)

Data for a relaxed structure of Ba2CaZnPt.

abc: 6.1903 6.1903 5.5473
angles: 90.00 90.00 90.00
Fractional positions:
Ba1 0.0000 0.5000 0.0000
Ba2 0.5000 0.0000 0.0000
Ca1 0.0000 0.0000 0.5000
Zn1 0.5000 0.5000 0.5000
Pt1 0.0000 0.0000 0.0000

Output
For the density of states at the Fermi level, the calculation gives 2.72 states/eV/cell.

***

*two*
## Ba2CaZnPt (PBE-GGA)

Data for a relaxed structure of Ba2CaZnPt.

abc: 6.2337 6.2337 5.0494
angles: 90.00 90.00 90.00
Fractional positions:
Ba1 0.0000 0.5000 0.0000
Ba2 0.5000 0.0000 0.0000
Ca1 0.0000 0.0000 0.5000
Zn1 0.5000 0.5000 0.5000
Pt1 0.5000 0.5000 0.0000

Output
For the density of states at the Fermi level, the calculation gives 4.01 states/eV/cell.

***

Tell me which of them is the most stable. Sure, it is *one*.